No. 1
DFT (GGA-PBE) results for a geometry-optimized Tb2PrCdC structure.

Its formation energy is -0.22 eV/atom.

Cell lengths 4.943, 4.943, 5.226 Å; angles 90.00, 90.00, 90.00 degrees
Positions (direct):
Tb: 0.000 0.500 0.000
Tb: 0.500 0.000 0.000
Pr: 0.000 0.000 0.500
Cd: 0.500 0.500 0.500
C: 0.000 0.000 0.000


No. 2
DFT (GGA-PBE) results for a geometry-optimized PrThCdC structure.

Its formation energy is -0.20 eV/atom.

Cell lengths 8.788, 8.788, 8.788 Å; angles 24.31, 24.31, 24.31 degrees
Positions (direct):
Pr: 0.000 0.000 0.000
Th: 0.780 0.780 0.780
Cd: 0.225 0.225 0.225
C: 0.395 0.395 0.395


No. 3
DFT (GGA-PBE) results for a geometry-optimized CdPt2C structure.

Its formation energy is 0.28 eV/atom.

Cell lengths 5.526, 5.526, 5.526 Å; angles 106.65, 106.65, 115.26 degrees
Positions (direct):
Cd: 0.000 0.000 0.000
Cd: 0.750 0.250 0.500
Pt: 0.246 0.625 0.121
Pt: 0.375 0.496 0.621
Pt: 0.504 0.125 0.879
Pt: 0.875 0.754 0.379
C: 0.250 0.750 0.500
C: 0.500 0.500 0.000


No. 4
DFT (GGA-PBE) results for a geometry-optimized CdPt3C structure.

Its formation energy is 0.19 eV/atom.

Cell lengths 4.236, 4.236, 4.236 Å; angles 90.00, 90.00, 90.00 degrees
Positions (direct):
Cd: 0.000 0.000 0.000
Pt: 0.000 0.500 0.500
Pt: 0.500 0.000 0.500
Pt: 0.500 0.500 0.000
C: 0.500 0.500 0.500


Asked for size of the total moment across the records above, the calculation gives 0.00, 0.00, 0.00, 0.00 μB/cell in order.
Asked for Fermi-level density of states across the records above, the calculation gives 1.119, 1.022, 0.167, 1.043 states/eV/atom in order.
Asked for E_tot across the records above, the calculation gives -0.3718, -0.4251, -0.3877, -0.4012 Ry per atom in order.